## Ca2AsCl (PBE)

Data for Ca2AsCl after structural relaxation.

Calculated values
Uncorrected formation energy: -1.369 eV/atom
Volume: 103.0 Å³/f.u.
Magnetization: 0.0 μB/f.u.

Lattice parameters (Å, degrees): 7.347 5.349 3.794 77.08 78.99 128.24
Atoms (fractional coordinates):
1 As 0.500 0.500 0.000
2 Ca 0.000 0.000 0.000
3 Ca 0.500 0.000 0.500
4 Cl 0.000 0.500 0.500

***

## Nd2CoIr (PBE)

Data for Nd2CoIr after structural relaxation.

Calculated values
E_form: -1.03 eV/f.u.
Volume: 87.4 Å³/f.u.
Magnetization: 0.7 μB/f.u.

Lattice parameters (Å, degrees): 3.577 4.942 4.942 90.00 90.00 90.00
Each line ends with the local moment (μB).
Atoms (fractional coordinates):
1 Co 0.500 0.500 0.500  1.06
2 Ir 0.500 0.000 0.000  0.11
3 Nd 0.000 0.000 0.500  -0.11
4 Nd 0.000 0.500 0.000  -0.11

***

## CdInBr6 (PBE)

Data for CdInBr6 after structural relaxation.

Calculated values
Uncorrected formation energy: -0.555 eV/atom
Volume: 247.5 Å³/f.u.
Magnetization: 0.8 μB/f.u.

Lattice parameters (Å, degrees): 6.917 6.913 7.176 61.03 61.75 59.95
Each line ends with the local moment (μB).
Atoms (fractional coordinates):
1 Cd 0.500 0.500 0.500  0.00
2 In 0.000 0.000 0.000  -0.01
3 Br 0.068 0.421 0.749  0.12
4 Br 0.758 0.068 0.753  0.09
5 Br 0.581 0.240 0.248  0.11
6 Br 0.242 0.932 0.247  0.09
7 Br 0.932 0.579 0.251  0.12
8 Br 0.419 0.760 0.752  0.11

***

## La2MgS4 (PBE)

Data for La2MgS4 after structural relaxation.

Calculated values
Uncorrected formation energy: -1.811 eV/atom
Volume: 178.4 Å³/f.u.
Magnetization: 0.0 μB/f.u.
Offset from the most stable computed form: 120 meV/atom

Lattice parameters (Å, degrees): 7.124 8.372 11.964 90.00 90.00 90.00
Atoms (fractional coordinates):
1 La 0.750 0.027 0.315
2 La 0.250 0.973 0.685
3 La 0.250 0.473 0.815
4 La 0.750 0.527 0.185
5 La 0.250 0.095 0.041
6 La 0.750 0.905 0.959
7 La 0.750 0.405 0.541
8 La 0.250 0.595 0.459
9 Mg 0.250 0.196 0.420
10 Mg 0.750 0.804 0.580
11 Mg 0.750 0.304 0.920
12 Mg 0.250 0.696 0.080
13 S 0.491 0.150 0.847
14 S 0.509 0.850 0.153
15 S 0.509 0.350 0.347
16 S 0.491 0.650 0.653
17 S 0.009 0.650 0.653
18 S 0.991 0.350 0.347
19 S 0.991 0.850 0.153
20 S 0.009 0.150 0.847
21 S 0.250 0.919 0.442
22 S 0.750 0.081 0.558
23 S 0.750 0.581 0.942
24 S 0.250 0.419 0.058
25 S 0.750 0.198 0.108
26 S 0.250 0.802 0.892
27 S 0.250 0.302 0.608
28 S 0.750 0.698 0.392